(1)
An optimized crystal structure of GeIBrN2, computed with PBE.

Computed properties:
- ΔE to the lowest computed polymorph (meV per atom) = 674.9
- formation energy without anion corrections (eV per atom) = 2.03
- theoretical density (g cm⁻³) = 4.2
- DOS at the Fermi energy (states/eV per atom) = 0.5779

a = 4.1659 Å, b = 4.1659 Å, c = 6.9343 Å
α = 90.00°, β = 90.00°, γ = 90.00°
Last column: magnetic moment on the atom in μB.
Element x y z (fractional)
I 0.0000 0.0000 0.5000  0.00
Ge 0.5000 0.5000 0.5000  -0.20
Br 0.0000 0.0000 0.0000  0.03
N 0.0000 0.5000 0.0000  0.83
N 0.5000 0.0000 0.0000  0.83

---

(2)
An optimized crystal structure of AlCr2Cu, computed with PBE.

Computed properties:
- theoretical density (g cm⁻³) = 6.5
- DOS at the Fermi energy (states/eV per atom) = 0.6014
- formation enthalpy at 0 K (eV per atom) = 0.091

a = 4.1336 Å, b = 2.5062 Å, c = 5.0307 Å
α = 71.72°, β = 90.00°, γ = 90.00°
Element x y z (fractional)
Cr 0.0000 0.0192 0.9927
Cr 0.0000 0.4808 0.5073
Al 0.5000 0.7500 0.7500
Cu 0.5000 0.2500 0.2500

---

(3)
An optimized crystal structure of SmSn2Pt7, computed with PBE.

Computed properties:
- theoretical density (g cm⁻³) = 13.0
- DOS at the Fermi energy (states/eV per atom) = 0.4753
- formation enthalpy at 0 K (eV per atom) = -0.272

a = 4.4823 Å, b = 7.7505 Å, c = 7.7506 Å
α = 123.78°, β = 90.00°, γ = 90.00°
Element x y z (fractional)
Sm 0.0000 0.0000 0.0000
Sn 0.5000 0.6992 0.3008
Sn 0.5000 0.3008 0.6992
Pt 0.0000 0.7964 0.2036
Pt 0.0000 0.2036 0.7964
Pt 0.5000 0.0796 0.2894
Pt 0.5000 0.9204 0.7106
Pt 0.5000 0.2894 0.0796
Pt 0.5000 0.7106 0.9204
Pt 0.5000 0.5000 0.5000

---

(4)
An optimized crystal structure of KNbP3, computed with PBE.

Computed properties:
- ΔE to the lowest computed polymorph (meV per atom) = 0.0
- theoretical density (g cm⁻³) = 3.2
- DOS at the Fermi energy (states/eV per atom) = 0.4335
- formation enthalpy at 0 K (eV per atom) = -0.083

a = 4.9069 Å, b = 4.9069 Å, c = 4.9069 Å
α = 90.00°, β = 90.00°, γ = 90.00°
Element x y z (fractional)
P 0.0000 0.5000 0.0000
P 0.0000 0.0000 0.5000
P 0.5000 0.0000 0.0000
Nb 0.0000 0.0000 0.0000
K 0.5000 0.5000 0.5000

---

(5)
An optimized crystal structure of Cs3Sm7Te12, computed with PBE.

Computed properties:
- formation energy without anion corrections (eV per atom) = -1.43
- theoretical density (g cm⁻³) = 5.5

a = 4.5353 Å, b = 13.8850 Å, c = 28.7954 Å
α = 90.00°, β = 90.00°, γ = 90.00°
Element x y z (fractional)
Cs 0.5000 0.0293 0.3733
Cs 0.5000 0.4647 0.6343
Cs 0.0000 0.5353 0.1343
Cs 0.0000 0.9707 0.8733
Cs 0.5000 0.3011 0.0241
Cs 0.0000 0.6989 0.5241
Sm 0.5000 0.6696 0.3175
Sm 0.5000 0.8337 0.6828
Sm 0.0000 0.1663 0.1828
Sm 0.0000 0.3304 0.8175
Sm 0.5000 0.3369 0.2879
Sm 0.5000 0.1615 0.7125
Sm 0.0000 0.8385 0.2125
Sm 0.0000 0.6631 0.7879
Sm 0.5000 0.2556 0.5008
Sm 0.0000 0.7444 0.0008
Sm 0.5000 0.5325 0.9142
Sm 0.5000 0.9620 0.0841
Sm 0.0000 0.0380 0.5841
Sm 0.0000 0.4675 0.4142
Te 0.5000 0.6235 0.4229
Te 0.5000 0.8830 0.5771
Te 0.0000 0.1170 0.0771
Te 0.0000 0.3765 0.9229
Te 0.5000 0.3210 0.1775
Te 0.5000 0.1773 0.8212
Te 0.0000 0.8227 0.3212
Te 0.0000 0.6790 0.6775
Te 0.5000 0.5873 0.0195
Te 0.5000 0.8974 0.9815
Te 0.0000 0.1026 0.4815
Te 0.0000 0.4127 0.5195
Te 0.5000 0.3136 0.3961
Te 0.5000 0.1903 0.6043
Te 0.0000 0.8097 0.1043
Te 0.0000 0.6864 0.8961
Te 0.5000 0.4984 0.8021
Te 0.5000 0.0010 0.1969
Te 0.0000 0.9990 0.6969
Te 0.0000 0.5016 0.3021
Te 0.5000 0.6873 0.2104
Te 0.5000 0.8147 0.7902
Te 0.0000 0.1853 0.2902
Te 0.0000 0.3127 0.7104

---

(6)
An optimized crystal structure of Dy8SiSe3S4, computed with PBE.

Computed properties:
- formation energy without anion corrections (eV per atom) = -1.79
- theoretical density (g cm⁻³) = 7.7
- DOS at the Fermi energy (states/eV per atom) = 0.3622

a = 8.0069 Å, b = 8.0063 Å, c = 8.0065 Å
α = 120.00°, β = 120.00°, γ = 90.00°
Element x y z (fractional)
Dy 0.2472 0.7604 0.0132
Dy 0.2471 0.7604 0.4943
Dy 0.2418 0.2256 0.4837
Dy 0.7661 0.7604 0.0132
Dy 0.2339 0.2396 0.9868
Dy 0.7582 0.7744 0.5163
Dy 0.7529 0.2396 0.5057
Dy 0.7528 0.2396 0.9868
Si 0.0000 0.5000 0.0000
Se 0.5000 0.5000 0.0000
Se 0.5000 0.5000 0.5000
Se 0.0000 0.5000 0.5000
S 0.5000 0.0000 0.0000
S 0.5000 0.0000 0.5000
S 0.0000 0.0000 0.0000
S 0.0000 0.0000 0.5000

---

(7)
An optimized crystal structure of BSbPd2O, computed with PBE.

Computed properties:
- formation energy without anion corrections (eV per atom) = -0.01
- theoretical density (g cm⁻³) = 8.1
- DOS at the Fermi energy (states/eV per atom) = 0.3450

a = 5.1588 Å, b = 2.7701 Å, c = 5.1588 Å
α = 90.00°, β = 90.00°, γ = 90.00°
Element x y z (fractional)
Sb 0.5000 0.5000 0.5000
B 0.0000 0.5000 0.0000
O 0.0000 0.0000 0.0000
Pd 0.0000 0.0000 0.5000
Pd 0.5000 0.0000 0.0000

---

(8)
An optimized crystal structure of ZnBrO3, computed with PBE.

Computed properties:
- formation energy without anion corrections (eV per atom) = 0.48
- theoretical density (g cm⁻³) = 5.2
- DOS at the Fermi energy (states/eV per atom) = 0.2764

a = 3.9464 Å, b = 3.9464 Å, c = 3.9464 Å
α = 90.00°, β = 90.00°, γ = 90.00°
Element x y z (fractional)
Zn 0.5000 0.5000 0.5000
O 0.0000 0.5000 0.0000
O 0.0000 0.0000 0.5000
O 0.5000 0.0000 0.0000
Br 0.0000 0.0000 0.0000